## i
Here is a relaxed AcGdPt2 crystal from Alexandria via LeMat-Bulk. Energies are from PBE.

- volume (Å³/f.u.) = 97.53
- DOS(E_F) (states/eV per cell) = 2.54
- SG = P4/mmm

Cell lengths 3.654, 3.654, 7.303 Å; angles 90.00, 90.00, 90.00 degrees
Sites, in units of the cell vectors:
Ac 0.000 0.000 0.000
Gd 0.000 0.000 0.500
Pt 0.500 0.500 0.279
Pt 0.500 0.500 0.721

=====

## ii
Here is a relaxed AcGdPt2 crystal from Alexandria via LeMat-Bulk. Energies are from PBE.

- volume (Å³/f.u.) = 98.16
- DOS(E_F) (states/eV per cell) = 4.44
- SG = Fm-3m

Cell lengths 5.178, 5.178, 5.178 Å; angles 60.00, 60.00, 60.00 degrees
Sites, in units of the cell vectors:
Ac 0.000 0.000 0.000
Gd 0.500 0.500 0.500
Pt 0.250 0.250 0.250
Pt 0.750 0.750 0.750

=====

## iii
Here is a relaxed AcGdPt2 crystal from Alexandria via LeMat-Bulk. Energies are from PBE.

- volume (Å³/f.u.) = 108.25
- DOS(E_F) (states/eV per cell) = 2.02
- SG = R-3m

Cell lengths 7.287, 7.287, 7.287 Å; angles 34.07, 34.07, 34.07 degrees
Sites, in units of the cell vectors:
Ac 0.000 0.000 0.000
Gd 0.500 0.500 0.500
Pt 0.243 0.243 0.243
Pt 0.757 0.757 0.757

=====

Verdict on stability: ii comes out at the bottom.

=====

## i
Here is a relaxed AcGdPu crystal from Alexandria via LeMat-Bulk. Energies are from PBE.

- volume (Å³/f.u.) = 105.06
- DOS(E_F) (states/eV per cell) = 10.74
- SG = P3m1

Cell lengths 5.907, 5.907, 3.476 Å; angles 90.00, 90.00, 120.00 degrees
Sites, in units of the cell vectors:
Ac 0.000 0.000 0.000
Gd 0.333 0.667 0.995
Pu 0.667 0.333 0.497

=====

## ii
Here is a relaxed AcGdPu crystal from Alexandria via LeMat-Bulk. Energies are from PBE.

- volume (Å³/f.u.) = 104.61
- DOS(E_F) (states/eV per cell) = 7.79
- SG = I4mm

Cell lengths 8.090, 8.090, 8.090 Å; angles 153.59, 153.59, 37.70 degrees
Sites, in units of the cell vectors:
Ac 0.000 0.000 0.000
Gd 0.680 0.680 0.000
Pu 0.330 0.330 0.000

=====

Verdict on stability: i comes out at the bottom.

=====

## i
Here is a relaxed AcGdRh crystal from Alexandria via LeMat-Bulk. Energies are from PBE.

- volume (Å³/f.u.) = 87.50
- DOS(E_F) (states/eV per cell) = 3.27
- SG = I4mm

Cell lengths 7.084, 7.084, 7.084 Å; angles 150.21, 150.21, 42.63 degrees
Sites, in units of the cell vectors:
Ac 0.000 0.000 0.000
Gd 0.743 0.743 0.000
Rh 0.354 0.354 0.000

=====

## ii
Here is a relaxed AcGdRh crystal from Alexandria via LeMat-Bulk. Energies are from PBE.

- volume (Å³/f.u.) = 99.56
- DOS(E_F) (states/eV per cell) = 3.76
- SG = P3m1

Cell lengths 4.200, 4.200, 6.517 Å; angles 90.00, 90.00, 120.00 degrees
Sites, in units of the cell vectors:
Ac 0.000 0.000 0.000
Gd 0.667 0.333 0.474
Rh 0.333 0.667 0.259

=====

## iii
Here is a relaxed AcGdRh crystal from Alexandria via LeMat-Bulk. Energies are from PBE.

- volume (Å³/f.u.) = 90.85
- DOS(E_F) (states/eV per cell) = 4.49
- SG = F-43m

Cell lengths 5.046, 5.046, 5.046 Å; angles 60.00, 60.00, 60.00 degrees
Sites, in units of the cell vectors:
Ac 0.000 0.000 0.000
Gd 0.500 0.500 0.500
Rh 0.250 0.250 0.250

=====

Verdict on stability: i comes out at the bottom.

=====

## i
Here is a relaxed Ac2GdRh crystal from Alexandria via LeMat-Bulk. Energies are from PBE.

- volume (Å³/f.u.) = 130.54
- DOS(E_F) (states/eV per cell) = 6.02
- SG = P4/mmm

Cell lengths 3.800, 3.800, 9.041 Å; angles 90.00, 90.00, 90.00 degrees
Sites, in units of the cell vectors:
Ac 0.000 0.000 0.194
Ac 0.000 0.000 0.806
Gd 0.500 0.500 0.500
Rh 0.500 0.500 0.000

=====

## ii
Here is a relaxed Ac2GdRh crystal from Alexandria via LeMat-Bulk. Energies are from PBE.

- volume (Å³/f.u.) = 144.19
- DOS(E_F) (states/eV per cell) = 6.08
- SG = R-3m

Cell lengths 10.063, 10.063, 10.063 Å; angles 23.66, 23.66, 23.66 degrees
Sites, in units of the cell vectors:
Ac 0.226 0.226 0.226
Ac 0.774 0.774 0.774
Gd 0.000 0.000 0.000
Rh 0.500 0.500 0.500

=====

Verdict on stability: i comes out at the bottom.